1.
Material: HgAuOF
Method: DFT, GGA-PBE
State: optimized geometry

Lattice parameters (Å, degrees): 5.312 5.920 7.471 90.00 90.00 90.00
Fractional coordinates of all 16 atoms:
Hg1 0.242 0.006 0.169
Hg2 0.258 0.994 0.669
Hg3 0.742 0.494 0.831
Hg4 0.758 0.506 0.331
Au1 0.235 0.557 0.545
Au2 0.265 0.443 0.045
Au3 0.735 0.943 0.455
Au4 0.765 0.057 0.955
O1 0.182 0.356 0.779
O2 0.318 0.644 0.279
O3 0.682 0.144 0.221
O4 0.818 0.856 0.721
F1 0.135 0.209 0.420
F2 0.365 0.791 0.920
F3 0.635 0.291 0.580
F4 0.865 0.709 0.080

Crystal system: orthorhombic
Space group: P2_12_12_1, No. 19
Energy in eV/cell: -47.83

2.
Material: HfFeTcPb
Method: DFT, GGA-PBE
State: optimized geometry

Lattice parameters (Å, degrees): 4.681 4.681 4.681 60.00 60.00 60.00
Fractional coordinates of all 4 atoms:
Hf1 0.000 0.000 0.000
Fe1 0.500 0.500 0.500
Tc1 0.750 0.750 0.750
Pb1 0.250 0.250 0.250

Crystal system: cubic
Space group: F-43m, No. 216
Energy in eV/cell: -30.63
Energy above the most stable polymorph in this dataset in meV/atom: 297
M_tot in μB/f.u.: 4.223

3.
Material: KHfNO
Method: DFT, GGA-PBE
State: optimized geometry

Lattice parameters (Å, degrees): 3.433 7.329 6.003 90.00 90.00 90.00
Fractional coordinates of all 8 atoms:
K1 0.000 0.151 0.000
K2 0.000 0.849 0.500
Hf1 0.500 0.356 0.520
Hf2 0.500 0.644 0.020
N1 0.000 0.219 0.458
N2 0.000 0.781 0.958
O1 0.500 0.409 0.848
O2 0.500 0.591 0.348

Crystal system: orthorhombic
Space group: Pmc2_1, No. 26
Energy in eV/cell: -63.23
Energy above the most stable polymorph in this dataset in meV/atom: 102
M_tot in μB/f.u.: 0.000

4.
Material: Y2FeMoC6
Method: DFT, GGA-PBE
State: optimized geometry

Lattice parameters (Å, degrees): 5.733 5.733 5.777 104.08 104.08 45.89
Fractional coordinates of all 10 atoms:
Y1 0.240 0.240 0.259
Y2 0.760 0.760 0.741
Fe1 0.000 0.000 0.500
Mo1 0.500 0.500 0.000
C1 0.060 0.765 0.156
C2 0.235 0.940 0.844
C3 0.356 0.356 0.679
C4 0.644 0.644 0.321
C5 0.765 0.060 0.156
C6 0.940 0.235 0.844

Crystal system: monoclinic
Space group: C2/m, No. 12
Energy in eV/cell: -81.46
M_tot in μB/f.u.: 0.025